The following is a PBEsol calculation of BaTlPt2 after structural relaxation, from Alexandria.

```
4
Lattice="-1.648 -1.947 3.934 -3.925 -2.563 -0.118 1.074 -5.948 0.300" Properties=species:S:1:pos:R:3 pbc="T T T"
Ba -2.250 -5.229 2.058
Tl 0.000 0.000 0.000
Pt -2.884 -8.587 2.925
Pt -1.615 -1.871 1.192
```

Results
For the energy of formation from the pure elements, the calculation gives -40.1 kJ per mole of atoms. For the total energy, the calculation gives -0.37426 Ry per atom. The space group is No. 166.